SrMg2: relaxed, PBE.

Cell lengths 3.8050, 3.8050, 16.1655 Å; angles 90.00, 90.00, 120.00 degrees
Closest atoms and distances in Å follow each position.
Space group P-6m2 (No. 187)
Symmetry-distinct sites (fractional):
1 Sr 0.0000 0.0000 0.1789 (multiplicity 2)  6 Mg 3.63, 6 Sr 3.81
2 Mg 0.0000 0.0000 0.5000 (multiplicity 1)  6 Mg 3.19
3 Mg 0.3333 0.6667 0.0000 (multiplicity 1)  6 Sr 3.63, 6 Mg 3.81
4 Mg 0.3333 0.6667 0.3573 (multiplicity 2)  3 Mg 3.19

DFT total energy in eV/atom: -1.4647
E_form in eV/atom: 0.159
Magnetic moment in μB/f.u.: 0.0
Density of states at the Fermi level in states/eV/atom: 0.776